(1)
# La2H2Pb GGA-PBE relaxed
data_La2H2Pb
_symmetry_space_group_name_H-M 'P 1'
_symmetry_Int_Tables_number 1
_cell_length_a 7.9146
_cell_length_b 7.9146
_cell_length_c 3.2921
_cell_angle_alpha 90.00
_cell_angle_beta 90.00
_cell_angle_gamma 90.00
loop_
_symmetry_equiv_pos_as_xyz
'x,y,z'
loop_
_atom_site_label
_atom_site_type_symbol
_atom_site_fract_x
_atom_site_fract_y
_atom_site_fract_z
La1 La 0.1569 0.3431 0.0000
La2 La 0.3431 0.8431 0.0000
La3 La 0.6569 0.1569 0.0000
La4 La 0.8431 0.6569 0.0000
H1 H 0.0998 0.5998 0.5000
H2 H 0.4002 0.0998 0.5000
H3 H 0.5998 0.9002 0.5000
H4 H 0.9002 0.4002 0.5000
Pb1 Pb 0.0000 0.0000 0.5000
Pb2 Pb 0.5000 0.5000 0.5000
# N(E_F) (states/eV/atom): 0.584
# Polymorph energy (0 for the lowest one) (meV/atom): 345



(2)
# La2H2Pb GGA-PBE relaxed
data_La2H2Pb
_symmetry_space_group_name_H-M 'P 1'
_symmetry_Int_Tables_number 1
_cell_length_a 4.2977
_cell_length_b 4.2977
_cell_length_c 11.2097
_cell_angle_alpha 90.00
_cell_angle_beta 90.00
_cell_angle_gamma 90.00
loop_
_symmetry_equiv_pos_as_xyz
'x,y,z'
loop_
_atom_site_label
_atom_site_type_symbol
_atom_site_fract_x
_atom_site_fract_y
_atom_site_fract_z
La1 La 0.0000 0.0000 0.1516
La2 La 0.0000 0.0000 0.8484
La3 La 0.5000 0.5000 0.3484
La4 La 0.5000 0.5000 0.6516
H1 H 0.0000 0.5000 0.2500
H2 H 0.0000 0.5000 0.7500
H3 H 0.5000 0.0000 0.2500
H4 H 0.5000 0.0000 0.7500
Pb1 Pb 0.0000 0.0000 0.5000
Pb2 Pb 0.5000 0.5000 0.0000
# N(E_F) (states/eV/atom): 0.001
# Polymorph energy (0 for the lowest one) (meV/atom): 0



Q: Among the records above, which one has the highest polymorph energy (0 for the lowest one)?
A: number 1